# Li2Mn3SbO8

Crystalline Li2Mn3SbO8 at its relaxed geometry (PBE+U, the Alexandria database).

```
Li2Mn3SbO8
1.0
-1.636 3.819 -4.407
0.685 -1.755 -5.836
-10.018 -1.713 2.588
Li O Mn Sb
4 16 6 2
direct
0.209 0.601 0.934
0.291 0.399 0.566
0.695 0.604 0.436
0.805 0.396 0.064
0.910 0.255 0.860
0.590 0.745 0.640
0.133 0.272 0.131
0.603 0.240 0.134
0.876 0.745 0.851
0.594 0.812 0.137
0.417 0.181 0.866
0.076 0.262 0.619
0.897 0.760 0.366
0.424 0.738 0.881
0.147 0.748 0.140
0.083 0.819 0.634
0.624 0.255 0.649
0.906 0.188 0.363
0.353 0.252 0.360
0.367 0.728 0.369
0.250 0.000 0.250
0.998 0.002 0.498
0.750 0.000 0.250
0.502 0.998 0.002
0.250 0.000 0.750
0.750 0.000 0.750
0.750 0.500 0.750
0.250 0.500 0.250
```

Output
E above lowest polymorph: 1.2 kJ/mol of atoms
final energy: -187.63 eV for the cell shown